P) A relaxed structure of Sr2Tl4Pb3. Source: the Alexandria database, functional PBE.

Cell lengths 10.9667, 5.0192, 10.8744 Å; angles 90.00, 105.70, 90.00 degrees
Last column: nearest neighbours and their distance in Å.
Space group C2/m (No. 12)
Unique sites:
Sr (0.1638, 0.0000, 0.2227)  7 Tl 3.51-3.60, 5 Pb 3.61-3.66
Tl (0.0033, 0.5000, 0.3421)  6 Pb 3.43-3.71, 3 Tl 3.46-3.74, 3 Sr 3.51-3.60
Tl (0.1706, 0.0000, 0.8957)  4 Pb 3.48-3.64, 4 Tl 3.51-3.74, 4 Sr 3.54-3.58
Pb (0.0000, 0.5000, 0.0000)  8 Tl 3.48-3.71, 4 Sr 3.61
Pb (0.1613, 0.0000, 0.5581)  3 Pb 3.42-3.61, 6 Tl 3.43-3.64, 3 Sr 3.63-3.66

## Properties
Its total magnetization is 0.000 μB/f.u. For the density, the calculation gives 9.30 g/cm3.

=====

Q) A relaxed structure of Sr2Tl4Pb3. Source: the Alexandria database, functional PBE.

Cell lengths 6.7013, 17.4631, 10.3815 Å; angles 90.00, 90.00, 90.00 degrees
Last column: nearest neighbours and their distance in Å.
Space group Cmce (No. 64)
Unique sites:
Sr (0.0000, 0.1127, 0.0623)  7 Tl 3.60-3.84, 4 Pb 3.72-3.94
Tl (0.0000, 0.1828, 0.4833)  5 Pb 3.20-3.35
Tl (0.2500, 0.0504, 0.7500)  3 Pb 3.19-3.21, 2 Tl 3.35
Pb (0.0000, 0.0000, 0.5000)  6 Tl 3.20-3.21
Pb (0.2500, 0.2333, 0.7500)  5 Tl 3.19-3.35, 2 Pb 3.35

## Properties
Its total magnetization is 0.000 μB/f.u. For the density, the calculation gives 8.83 g/cm3.

=====

The structure with the least stability is Q).